Computed, not measured: an optimized crystal structure of ZnCdPt2 at the PBE-GGA level of DFT.

abc: 4.636 2.921 4.808
angles: 89.97 90.00 90.00
Fractional coordinates of all 4 atoms:
Pt: 0.000 0.125 0.938
Pt: 0.500 0.125 0.323
Zn: 0.000 0.624 0.419
Cd: 0.500 0.626 0.819

Results
total moment: 0.000 μB/atom
E_form: -0.358 eV per atom
DFT total energy: -15.70 eV per cell

Computed, not measured: an optimized crystal structure of ZnCd2Pt at the PBE-GGA level of DFT.

abc: 2.990 3.666 6.674
angles: 90.00 90.00 90.00
Fractional coordinates of all 4 atoms:
Zn: 0.500 0.500 0.710
Pt: 0.000 0.000 0.538
Cd: 0.000 0.000 0.979
Cd: 0.500 0.500 0.274

Results
total moment: 0.000 μB/atom
E_form: -0.210 eV per atom
DFT total energy: -9.98 eV per cell

Computed, not measured: an optimized crystal structure of ZnCdPt2 at the PBE-GGA level of DFT.

abc: 4.782 4.782 2.926
angles: 90.00 90.00 104.80
Fractional coordinates of all 4 atoms:
Zn: 0.500 0.000 0.500
Pt: 0.000 0.000 0.000
Pt: 0.500 0.500 0.000
Cd: 0.000 0.500 0.500

Results
total moment: 0.000 μB/atom
E_form: -0.397 eV per atom
DFT total energy: -15.86 eV per cell